i.
## Sr2HoMg (GGA-PBE)

Data for a relaxed Sr2HoMg crystal.

a b c (Å): 4.3541 4.3541 8.0896
angles (deg): 90.00 90.00 90.00
Last column: nearest neighbours and their distance in Å.
Fractional coordinates of all 4 atoms:
Mg (0.5000, 0.5000, 0.0000)  8 Sr 3.64, 2 Ho 4.04
Sr (0.0000, 0.0000, 0.2402)  4 Mg 3.64, 4 Ho 3.73, 1 Sr 3.89
Sr (0.0000, 0.0000, 0.7598)  4 Mg 3.64, 4 Ho 3.73, 1 Sr 3.89
Ho (0.5000, 0.5000, 0.5000)  8 Sr 3.73, 2 Mg 4.04

- Total moment: 0.000 μB/cell

=====

ii.
## Sr2HoMg (GGA-PBE)

Data for a relaxed Sr2HoMg crystal.

a b c (Å): 3.7462 3.7462 13.1186
angles (deg): 81.79 81.79 60.00
Last column: nearest neighbours and their distance in Å.
Fractional coordinates of all 4 atoms:
Sr (0.0914, 0.0914, 0.7259)  1 Ho 3.55, 3 Mg 3.64, 6 Sr 3.75
Sr (0.9086, 0.9086, 0.2741)  1 Ho 3.55, 3 Mg 3.64, 6 Sr 3.75
Mg (0.5000, 0.5000, 0.5000)  6 Sr 3.64, 6 Mg 3.75
Ho (0.0000, 0.0000, 0.0000)  2 Sr 3.55, 6 Ho 3.75

- Total moment: 0.531 μB/cell

=====

Verdict on stability: ii comes out at the bottom.

=====

i.
## SrHo2Mg (GGA-PBE)

Data for a relaxed SrHo2Mg crystal.

a b c (Å): 3.8001 3.8001 9.3250
angles (deg): 90.00 90.00 90.00
Last column: nearest neighbours and their distance in Å.
Fractional coordinates of all 4 atoms:
Mg (0.5000, 0.5000, 0.0000)  8 Ho 3.22
Sr (0.5000, 0.5000, 0.5000)  4 Sr 3.80, 8 Ho 3.94
Ho (0.0000, 0.0000, 0.8088)  4 Mg 3.22, 1 Ho 3.57
Ho (0.0000, 0.0000, 0.1912)  4 Mg 3.22, 1 Ho 3.57

- Total moment: 0.000 μB/cell

=====

ii.
## SrHo2Mg (GGA-PBE)

Data for a relaxed SrHo2Mg crystal.

a b c (Å): 3.5734 3.5734 12.5172
angles (deg): 81.79 81.79 60.00
Last column: nearest neighbours and their distance in Å.
Fractional coordinates of all 4 atoms:
Ho (0.9036, 0.9036, 0.2891)  3 Mg 3.32, 1 Sr 3.57, 6 Ho 3.57
Ho (0.0964, 0.0964, 0.7109)  3 Mg 3.32, 1 Sr 3.57, 6 Ho 3.57
Mg (0.5000, 0.5000, 0.5000)  6 Ho 3.32, 6 Mg 3.57
Sr (0.0000, 0.0000, 0.0000)  2 Ho 3.57, 6 Sr 3.57

- Total moment: 0.001 μB/cell

=====

Verdict on stability: ii comes out at the bottom.

=====

i.
## Tb2HoMg (GGA-PBE)

Data for a relaxed Tb2HoMg crystal.

a b c (Å): 3.4420 3.4420 12.3967
angles (deg): 82.02 82.02 60.00
Last column: nearest neighbours and their distance in Å.
Fractional coordinates of all 4 atoms:
Mg (0.0000, 0.0000, 0.0000)  2 Tb 3.28, 6 Mg 3.44
Tb (0.0894, 0.0894, 0.7317)  1 Mg 3.28, 6 Tb 3.44, 3 Ho 3.46
Tb (0.9106, 0.9106, 0.2683)  1 Mg 3.28, 6 Tb 3.44, 3 Ho 3.46
Ho (0.5000, 0.5000, 0.5000)  6 Ho 3.44, 6 Tb 3.46

- Total moment: 0.000 μB/cell

=====

ii.
## Tb2HoMg (GGA-PBE)

Data for a relaxed Tb2HoMg crystal.

a b c (Å): 5.4992 5.4992 5.4992
angles (deg): 60.00 60.00 60.00
Last column: nearest neighbours and their distance in Å.
Fractional coordinates of all 4 atoms:
Tb (0.2500, 0.2500, 0.2500)  4 Ho 3.37, 4 Mg 3.37
Tb (0.7500, 0.7500, 0.7500)  4 Ho 3.37, 4 Mg 3.37
Mg (0.5000, 0.5000, 0.5000)  8 Tb 3.37
Ho (0.0000, 0.0000, 0.0000)  8 Tb 3.37

- Total moment: 0.000 μB/cell

=====

Verdict on stability: i comes out at the bottom.

=====

i.
## Tb2HoMg (GGA-PBE)

Data for a relaxed Tb2HoMg crystal.

a b c (Å): 3.4977 3.4977 11.5189
angles (deg): 81.27 81.27 60.00
Last column: nearest neighbours and their distance in Å.
Fractional coordinates of all 4 atoms:
Tb (0.0842, 0.0842, 0.7474)  3 Mg 3.46, 6 Tb 3.50, 3 Ho 3.50
Tb (0.2490, 0.2490, 0.2531)  3 Mg 3.45, 6 Tb 3.50, 3 Ho 3.51
Mg (0.5000, 0.5000, 0.5001)  6 Tb 3.45-3.46, 6 Mg 3.50
Ho (0.6668, 0.6668, 0.9995)  6 Ho 3.50, 6 Tb 3.50-3.51

- Total moment: 0.000 μB/cell

=====

ii.
## Tb2HoMg (GGA-PBE)

Data for a relaxed Tb2HoMg crystal.

a b c (Å): 3.5872 3.5872 9.2147
angles (deg): 90.00 90.00 90.00
Last column: nearest neighbours and their distance in Å.
Fractional coordinates of all 4 atoms:
Ho (0.5000, 0.5000, 0.5000)  8 Tb 3.52, 4 Ho 3.59
Mg (0.5000, 0.5000, 0.0000)  8 Tb 3.34, 4 Mg 3.59
Tb (0.0000, 0.0000, 0.7644)  4 Mg 3.34, 4 Ho 3.52, 4 Tb 3.59
Tb (0.0000, 0.0000, 0.2356)  4 Mg 3.34, 4 Ho 3.52, 4 Tb 3.59

- Total moment: 0.000 μB/cell

=====

Verdict on stability: i comes out at the bottom.

=====

i.
## Tb4HoMg2 (GGA-PBE)

Data for a relaxed Tb4HoMg2 crystal.

a b c (Å): 5.4454 5.4454 8.6000
angles (deg): 71.54 71.54 60.00
Last column: nearest neighbours and their distance in Å.
Fractional coordinates of all 7 atoms:
Tb (0.8452, 0.8452, 0.4645)  6 Tb 3.19-3.48, 1 Mg 3.23
Tb (0.5735, 0.5735, 0.2795)  4 Mg 3.29-3.36, 4 Tb 3.48-3.53
Tb (0.1548, 0.1548, 0.5355)  6 Tb 3.19-3.48, 1 Mg 3.23
Tb (0.4265, 0.4265, 0.7205)  4 Mg 3.29-3.36, 4 Tb 3.48-3.53
Mg (0.2894, 0.2894, 0.1317)  5 Tb 3.23-3.36, 3 Ho 3.32
Mg (0.7106, 0.7106, 0.8683)  5 Tb 3.23-3.36, 3 Ho 3.32
Ho (0.0000, 0.0000, 0.0000)  6 Mg 3.32

- Total moment: 0.000 μB/cell

=====

ii.
## Tb4HoMg2 (GGA-PBE)

Data for a relaxed Tb4HoMg2 crystal.

a b c (Å): 5.5291 5.5291 9.3610
angles (deg): 72.82 72.82 60.00
Last column: nearest neighbours and their distance in Å.
Fractional coordinates of all 7 atoms:
Mg (0.6231, 0.6231, 0.1306)  4 Tb 3.21-3.32, 1 Ho 3.25
Mg (0.3769, 0.3769, 0.8694)  4 Tb 3.21-3.32, 1 Ho 3.25
Tb (0.1303, 0.1303, 0.6092)  4 Tb 3.30-3.48, 3 Ho 3.33
Tb (0.7449, 0.7449, 0.7654)  4 Mg 3.21-3.32, 4 Tb 3.30-3.48
Tb (0.8697, 0.8697, 0.3908)  4 Tb 3.30-3.48, 3 Ho 3.33
Tb (0.2551, 0.2551, 0.2346)  4 Mg 3.21-3.32, 4 Tb 3.30-3.48
Ho (0.5000, 0.5000, 0.5000)  2 Mg 3.25, 6 Tb 3.33

- Total moment: 0.000 μB/cell

=====

Verdict on stability: ii comes out at the bottom.

=====

i.
## Tb7Ho4Mg (GGA-PBE)

Data for a relaxed Tb7Ho4Mg crystal.

a b c (Å): 6.3457 5.5685 11.4365
angles (deg): 75.88 78.05 89.99
Last column: nearest neighbours and their distance in Å.
Fractional coordinates of all 12 atoms:
Tb (0.1982, 0.4542, 0.0919)  2 Mg 3.30-3.31, 5 Tb 3.41-3.56, 4 Ho 3.45-3.61
Tb (0.4377, 0.7904, 0.4194)  7 Ho 3.47-3.76, 4 Tb 3.49-3.63
Tb (0.9943, 0.1351, 0.7294)  1 Mg 3.01, 2 Ho 3.36
Tb (0.5000, 0.0000, 0.0000)  2 Mg 3.17, 4 Tb 3.41
Tb (0.0057, 0.8649, 0.2706)  1 Mg 3.01, 2 Ho 3.36
Tb (0.8018, 0.5458, 0.9081)  2 Mg 3.30-3.31, 5 Tb 3.41-3.56, 4 Ho 3.45-3.61
Tb (0.5623, 0.2096, 0.5806)  7 Ho 3.47-3.76, 4 Tb 3.49-3.63
Mg (0.0000, 0.0000, 0.0000)  8 Tb 3.01-3.31
Ho (0.8886, 0.7082, 0.5833)  8 Tb 3.36-3.70, 3 Ho 3.47-3.63
Ho (0.6593, 0.3834, 0.2341)  8 Tb 3.45-3.76, 2 Ho 3.63-3.85
Ho (0.1114, 0.2918, 0.4167)  8 Tb 3.36-3.70, 3 Ho 3.47-3.63
Ho (0.3407, 0.6166, 0.7659)  8 Tb 3.45-3.76, 2 Ho 3.63-3.85

- Total moment: 0.000 μB/cell

=====

ii.
## Tb7Ho4Mg (GGA-PBE)

Data for a relaxed Tb7Ho4Mg crystal.

a b c (Å): 5.5681 5.5681 13.7421
angles (deg): 90.00 90.00 120.00
Last column: nearest neighbours and their distance in Å.
Fractional coordinates of all 12 atoms:
Ho (0.6667, 0.3333, 0.3801)  4 Tb 3.22-3.23, 1 Ho 3.48
Ho (0.6667, 0.3333, 0.1271)  4 Tb 3.21-3.51, 1 Ho 3.48
Ho (0.3333, 0.6667, 0.8729)  4 Tb 3.21-3.51, 1 Ho 3.48
Ho (0.3333, 0.6667, 0.6199)  4 Tb 3.22-3.23, 1 Ho 3.48
Tb (0.0000, 0.0000, 0.7512)  7 Tb 3.42-3.72, 1 Mg 3.45, 6 Ho 3.62-3.69
Tb (0.0000, 0.0000, 0.2488)  7 Tb 3.42-3.72, 1 Mg 3.45, 6 Ho 3.62-3.69
Tb (0.6667, 0.3333, 0.8715)  4 Ho 3.21-3.51, 1 Tb 3.53
Tb (0.0000, 0.0000, 0.0000)  8 Tb 3.42-3.67, 6 Ho 3.66
Tb (0.3333, 0.6667, 0.3851)  4 Ho 3.22-3.23, 1 Tb 3.53, 3 Mg 3.58
Tb (0.3333, 0.6667, 0.1285)  4 Ho 3.21-3.51, 1 Tb 3.53
Tb (0.6667, 0.3333, 0.6149)  4 Ho 3.22-3.23, 1 Tb 3.53, 3 Mg 3.58
Mg (0.0000, 0.0000, 0.5000)  8 Tb 3.45-3.58, 6 Ho 3.61

- Total moment: 0.000 μB/cell

=====

Verdict on stability: i comes out at the bottom.